# 1
This record from Alexandria via LeMat-Bulk describes SrZr4In after structural relaxation. The functional is PBE-GGA.

a = 6.0513 Å, b = 6.0513 Å, c = 6.0513 Å
α = 60.00°, β = 60.00°, γ = 60.00°
With the nearest neighbours (Å) after each atom.
Element x y z (fractional)
Sr 0.0000 0.0000 0.0000  12 Zr 3.54, 4 In 3.71
Zr 0.1202 0.6266 0.6266  6 Zr 2.99-3.06
Zr 0.6266 0.1202 0.6266  6 Zr 2.99-3.06
Zr 0.6266 0.6266 0.1202  6 Zr 2.99-3.06
Zr 0.6266 0.6266 0.6266  6 Zr 2.99-3.06
In 0.2500 0.2500 0.2500  12 Zr 3.55, 4 Sr 3.71

Output
SG = No. 216
Fermi-level density of states = 1.802 states/eV per atom
Volume = 157 Å³ per cell
ρ = 6.01 g/cm3
Energy relative to the elements = 300 meV/atom

# 2
This record from Alexandria via LeMat-Bulk describes SrZrIn after structural relaxation. The functional is PBE-GGA.

a = 6.6935 Å, b = 6.6935 Å, c = 6.6935 Å
α = 150.88°, β = 141.75°, γ = 48.79°
With the nearest neighbours (Å) after each atom.
Element x y z (fractional)
Sr 0.0000 0.0000 0.0000  2 Sr 3.37, 1 Zr 3.52, 4 In 3.58
Zr 0.7110 0.7110 0.0000  4 In 3.03, 2 Zr 3.37
In 0.3131 0.3131 0.0000  4 Zr 3.03, 2 In 3.37

Output
SG = No. 44
Fermi-level density of states = 1.235 states/eV per atom
Volume = 90 Å³ per cell
Offset from the most stable computed form = 240 meV/atom
ρ = 5.42 g/cm3
Energy relative to the elements = 73 meV/atom

# 3
This record from Alexandria via LeMat-Bulk describes TaIn7 after structural relaxation. The functional is PBE-GGA.

a = 6.4444 Å, b = 6.4444 Å, c = 6.4444 Å
α = 60.00°, β = 60.00°, γ = 60.00°
With the nearest neighbours (Å) after each atom.
Element x y z (fractional)
Ta 0.0000 0.0000 0.0000  12 In 3.22
In 0.0000 0.0000 0.5000  2 Ta 3.22, 10 In 3.22
In 0.0000 0.5000 0.0000  2 Ta 3.22, 10 In 3.22
In 0.0000 0.5000 0.5000  2 Ta 3.22, 10 In 3.22
In 0.5000 0.0000 0.0000  2 Ta 3.22, 10 In 3.22
In 0.5000 0.0000 0.5000  2 Ta 3.22, 10 In 3.22
In 0.5000 0.5000 0.0000  2 Ta 3.22, 10 In 3.22
In 0.5000 0.5000 0.5000  12 In 3.22

Output
SG = No. 225
Fermi-level density of states = 0.782 states/eV per atom
Volume = 189 Å³ per cell
ρ = 8.64 g/cm3
Energy relative to the elements = 257 meV/atom

# 4
This record from Alexandria via LeMat-Bulk describes TaIn2 after structural relaxation. The functional is PBE-GGA.

a = 5.8183 Å, b = 5.8183 Å, c = 8.1462 Å
α = 109.24°, β = 109.24°, γ = 31.08°
With the nearest neighbours (Å) after each atom.
Element x y z (fractional)
Ta 0.2070 0.2070 0.1091  2 Ta 2.77, 5 In 3.02-3.08
Ta 0.7930 0.7930 0.8909  2 Ta 2.77, 5 In 3.02-3.08
In 0.1447 0.1447 0.5677  2 Ta 3.02, 9 In 3.05-3.35
In 0.4962 0.4962 0.1887  5 Ta 3.08-3.12, 7 In 3.10-3.35
In 0.5038 0.5038 0.8113  5 Ta 3.08-3.12, 7 In 3.10-3.35
In 0.8553 0.8553 0.4323  2 Ta 3.02, 9 In 3.05-3.35

Output
SG = No. 12
Fermi-level density of states = 0.608 states/eV per atom
Volume = 134 Å³ per cell
ρ = 10.19 g/cm3
Energy relative to the elements = 241 meV/atom

# 5
This record from Alexandria via LeMat-Bulk describes Ta3In after structural relaxation. The functional is PBE-GGA.

a = 2.9757 Å, b = 2.9757 Å, c = 10.1116 Å
α = 90.00°, β = 90.00°, γ = 120.00°
With the nearest neighbours (Å) after each atom.
Element x y z (fractional)
Ta 0.0000 0.0000 0.0000  12 Ta 2.98-3.05
Ta 0.6667 0.3333 0.2487  9 Ta 2.98-3.05, 3 In 3.07
Ta 0.6667 0.3333 0.7513  9 Ta 2.98-3.05, 3 In 3.07
In 0.0000 0.0000 0.5000  6 In 2.98, 6 Ta 3.07

Output
SG = No. 187
Fermi-level density of states = 1.214 states/eV per atom
Volume = 78 Å³ per cell
ρ = 14.08 g/cm3
Energy relative to the elements = 262 meV/atom

# 6
This record from Alexandria via LeMat-Bulk describes TaIn2 after structural relaxation. The functional is PBE-GGA.

a = 6.1218 Å, b = 6.1218 Å, c = 7.1565 Å
α = 104.00°, β = 104.00°, γ = 29.68°
With the nearest neighbours (Å) after each atom.
Element x y z (fractional)
Ta 0.0279 0.0279 0.3218  1 Ta 2.79, 6 In 3.00-3.09
Ta 0.9721 0.9721 0.6782  1 Ta 2.79, 6 In 3.00-3.09
In 0.3111 0.3111 0.3641  5 Ta 3.00-3.29, 7 In 3.11-3.19
In 0.3726 0.3726 0.9657  6 In 2.93-3.19, 4 Ta 3.05-3.16
In 0.6274 0.6274 0.0343  6 In 2.93-3.19, 4 Ta 3.05-3.16
In 0.6889 0.6889 0.6359  5 Ta 3.00-3.29, 7 In 3.11-3.19

Output
SG = No. 12
Fermi-level density of states = 0.419 states/eV per atom
Volume = 129 Å³ per cell
ρ = 10.61 g/cm3
Energy relative to the elements = 298 meV/atom

# 7
This record from Alexandria via LeMat-Bulk describes TaIn after structural relaxation. The functional is PBE-GGA.

a = 7.7286 Å, b = 7.7286 Å, c = 7.7286 Å
α = 90.00°, β = 90.00°, γ = 90.00°
With the nearest neighbours (Å) after each atom.
Element x y z (fractional)
Ta 0.0000 0.2500 0.5000  4 In 2.73
Ta 0.0000 0.7500 0.5000  4 In 2.73
Ta 0.2500 0.5000 0.0000  4 In 2.73
Ta 0.5000 0.0000 0.2500  4 In 2.73
Ta 0.5000 0.0000 0.7500  4 In 2.73
Ta 0.7500 0.5000 0.0000  4 In 2.73
In 0.0000 0.5000 0.2500  4 Ta 2.73
In 0.0000 0.5000 0.7500  4 Ta 2.73
In 0.2500 0.0000 0.5000  4 Ta 2.73
In 0.5000 0.2500 0.0000  4 Ta 2.73
In 0.5000 0.7500 0.0000  4 Ta 2.73
In 0.7500 0.0000 0.5000  4 Ta 2.73

Output
SG = No. 223
Fermi-level density of states = 0.638 states/eV per atom
Volume = 462 Å³ per cell
ρ = 6.38 g/cm3
Energy relative to the elements = 2187 meV/atom

# 8
This record from Alexandria via LeMat-Bulk describes Ta4In after structural relaxation. The functional is PBE-GGA.

a = 5.3205 Å, b = 5.3205 Å, c = 5.3205 Å
α = 109.47°, β = 109.47°, γ = 109.47°
With the nearest neighbours (Å) after each atom.
Element x y z (fractional)
Ta 0.0000 0.0000 0.5000  2 In 2.66
Ta 0.0000 0.5000 0.0000  2 In 2.66
Ta 0.5000 0.0000 0.0000  2 In 2.66
Ta 0.5000 0.5000 0.5000  2 In 2.66
In 0.0000 0.0000 0.0000  8 Ta 2.66

Output
SG = No. 229
Fermi-level density of states = 1.260 states/eV per atom
Volume = 116 Å³ per cell
Offset from the most stable computed form = 1501 meV/atom
ρ = 12.01 g/cm3
Energy relative to the elements = 1593 meV/atom

# 9
This record from Alexandria via LeMat-Bulk describes Ta2In after structural relaxation. The functional is PBE-GGA.

a = 5.3482 Å, b = 5.3482 Å, c = 5.3482 Å
α = 141.68°, β = 141.68°, γ = 55.31°
With the nearest neighbours (Å) after each atom.
Element x y z (fractional)
Ta 0.1804 0.1804 0.0000  4 Ta 2.81, 5 In 3.01-3.03
Ta 0.8196 0.8196 0.0000  4 Ta 2.81, 5 In 3.01-3.03
In 0.5000 0.5000 0.0000  10 Ta 3.01-3.03

Output
SG = No. 139
Fermi-level density of states = 0.624 states/eV per atom
Volume = 58 Å³ per cell
ρ = 13.56 g/cm3
Energy relative to the elements = 131 meV/atom

# 10
This record from Alexandria via LeMat-Bulk describes TaIn after structural relaxation. The functional is PBE-GGA.

a = 7.7998 Å, b = 7.7998 Å, c = 5.0806 Å
α = 90.00°, β = 90.00°, γ = 120.00°
With the nearest neighbours (Å) after each atom.
Element x y z (fractional)
Ta 0.1058 0.4923 0.2500  4 Ta 2.79-3.06, 4 In 2.83-3.01
Ta 0.3865 0.8942 0.2500  4 Ta 2.79-3.06, 4 In 2.83-3.01
Ta 0.4923 0.3865 0.7500  4 Ta 2.79-3.06, 4 In 2.83-3.01
Ta 0.5077 0.6135 0.2500  4 Ta 2.79-3.06, 4 In 2.83-3.01
Ta 0.6135 0.1058 0.7500  4 Ta 2.79-3.06, 4 In 2.83-3.01
Ta 0.8942 0.5077 0.7500  4 Ta 2.79-3.06, 4 In 2.83-3.01
In 0.0774 0.2726 0.7500  4 Ta 2.83-3.01, 4 In 3.17
In 0.1952 0.9226 0.7500  4 Ta 2.83-3.01, 4 In 3.17
In 0.2726 0.1952 0.2500  4 Ta 2.83-3.01, 4 In 3.17
In 0.7274 0.8048 0.7500  4 Ta 2.83-3.01, 4 In 3.17
In 0.8048 0.0774 0.2500  4 Ta 2.83-3.01, 4 In 3.17
In 0.9226 0.7274 0.2500  4 Ta 2.83-3.01, 4 In 3.17

Output
SG = No. 176
Fermi-level density of states = 0.658 states/eV per atom
Volume = 268 Å³ per cell
ρ = 11.01 g/cm3
Energy relative to the elements = 606 meV/atom

# 11
This record from Alexandria via LeMat-Bulk describes TaIn after structural relaxation. The functional is PBE-GGA.

a = 3.6277 Å, b = 3.6277 Å, c = 6.2156 Å
α = 90.00°, β = 90.00°, γ = 90.00°
With the nearest neighbours (Å) after each atom.
Element x y z (fractional)
Ta 0.2500 0.2500 0.0963  4 Ta 2.83, 5 In 2.92-3.09
Ta 0.7500 0.7500 0.9037  4 Ta 2.83, 5 In 2.92-3.09
In 0.2500 0.2500 0.6272  5 Ta 2.92-3.09, 4 In 3.01
In 0.7500 0.7500 0.3728  5 Ta 2.92-3.09, 4 In 3.01

Output
SG = No. 129
Fermi-level density of states = 0.508 states/eV per atom
Volume = 82 Å³ per cell
ρ = 12.01 g/cm3
Energy relative to the elements = 179 meV/atom

# 12
This record from Alexandria via LeMat-Bulk describes TaIn after structural relaxation. The functional is PBE-GGA.

a = 5.8836 Å, b = 5.8836 Å, c = 5.3132 Å
α = 116.09°, β = 116.09°, γ = 29.12°
With the nearest neighbours (Å) after each atom.
Element x y z (fractional)
Ta 0.1268 0.1268 0.4755  5 Ta 2.96-3.08, 7 In 3.02-3.10
Ta 0.8732 0.8732 0.5245  5 Ta 2.96-3.08, 7 In 3.02-3.10
In 0.3789 0.3789 0.0347  5 In 2.94-3.16, 7 Ta 3.02-3.10
In 0.6211 0.6211 0.9653  5 In 2.94-3.16, 7 Ta 3.02-3.10

Output
SG = No. 12
Fermi-level density of states = 0.775 states/eV per atom
Volume = 80 Å³ per cell
ρ = 12.32 g/cm3
Energy relative to the elements = 297 meV/atom